# La2NdTmSe4 | Alexandria via LeMat-Bulk | PBE-GGA | relaxed
data_La2NdTmSe4
_chemical_formula_sum 'La2 Nd1 Tm1 Se4'
_symmetry_space_group_name_H-M 'P 1'
_symmetry_Int_Tables_number 1
_cell_length_a 7.325
_cell_length_b 4.165
_cell_length_c 7.361
_cell_angle_alpha 90.00
_cell_angle_beta 108.83
_cell_angle_gamma 90.00
loop_
_symmetry_equiv_pos_as_xyz
'x,y,z'
loop_
_atom_site_label
_atom_site_type_symbol
_atom_site_fract_x
_atom_site_fract_y
_atom_site_fract_z
La1 La 0.000 0.000 0.000
La2 La 0.500 0.500 0.000
Nd1 Nd 0.000 0.500 0.500
Tm1 Tm 0.500 0.000 0.500
Se1 Se 0.256 0.000 0.738
Se2 Se 0.266 0.500 0.269
Se3 Se 0.734 0.500 0.731
Se4 Se 0.744 0.000 0.262
# **Total moment**: 0.000 μB per atom
# **E**: -6.00 eV/atom

# LaNd2TmSe4 | Alexandria via LeMat-Bulk | PBE-GGA | relaxed
data_LaNd2TmSe4
_chemical_formula_sum 'La1 Nd2 Tm1 Se4'
_symmetry_space_group_name_H-M 'P 1'
_symmetry_Int_Tables_number 1
_cell_length_a 7.281
_cell_length_b 4.139
_cell_length_c 7.350
_cell_angle_alpha 90.00
_cell_angle_beta 108.68
_cell_angle_gamma 90.00
loop_
_symmetry_equiv_pos_as_xyz
'x,y,z'
loop_
_atom_site_label
_atom_site_type_symbol
_atom_site_fract_x
_atom_site_fract_y
_atom_site_fract_z
La1 La 0.000 0.000 0.000
Nd1 Nd 0.500 0.000 0.500
Nd2 Nd 0.500 0.500 0.000
Tm1 Tm 0.000 0.500 0.500
Se1 Se 0.237 0.000 0.734
Se2 Se 0.246 0.500 0.261
Se3 Se 0.754 0.500 0.739
Se4 Se 0.763 0.000 0.266
# **Total moment**: 0.000 μB per atom
# **E**: -5.94 eV/atom

# La3Nd2YSe6 | Alexandria via LeMat-Bulk | PBE-GGA | relaxed
data_La3Nd2YSe6
_chemical_formula_sum 'La3 Nd2 Y1 Se6'
_symmetry_space_group_name_H-M 'P 1'
_symmetry_Int_Tables_number 1
_cell_length_a 7.362
_cell_length_b 7.362
_cell_length_c 7.355
_cell_angle_alpha 99.60
_cell_angle_beta 99.60
_cell_angle_gamma 120.14
loop_
_symmetry_equiv_pos_as_xyz
'x,y,z'
loop_
_atom_site_label
_atom_site_type_symbol
_atom_site_fract_x
_atom_site_fract_y
_atom_site_fract_z
La1 La 0.000 0.000 0.000
La2 La 0.330 0.670 0.000
La3 La 0.670 0.330 0.000
Nd1 Nd 0.167 0.833 0.500
Nd2 Nd 0.833 0.167 0.500
Y1 Y 0.500 0.500 0.500
Se1 Se 0.095 0.420 0.260
Se2 Se 0.256 0.256 0.743
Se3 Se 0.420 0.095 0.260
Se4 Se 0.580 0.905 0.740
Se5 Se 0.744 0.744 0.257
Se6 Se 0.905 0.580 0.740
# **Total moment**: 0.000 μB per atom
# **E**: -6.22 eV/atom

# La2NdY3Se6 | Alexandria via LeMat-Bulk | PBE-GGA | relaxed
data_La2NdY3Se6
_chemical_formula_sum 'La2 Nd1 Y3 Se6'
_symmetry_space_group_name_H-M 'P 1'
_symmetry_Int_Tables_number 1
_cell_length_a 9.393
_cell_length_b 9.393
_cell_length_c 8.464
_cell_angle_alpha 104.21
_cell_angle_beta 104.21
_cell_angle_gamma 25.49
loop_
_symmetry_equiv_pos_as_xyz
'x,y,z'
loop_
_atom_site_label
_atom_site_type_symbol
_atom_site_fract_x
_atom_site_fract_y
_atom_site_fract_z
La1 La 0.166 0.166 0.331
La2 La 0.834 0.834 0.669
Nd1 Nd 0.500 0.500 0.000
Y1 Y 0.167 0.167 0.833
Y2 Y 0.500 0.500 0.500
Y3 Y 0.833 0.833 0.167
Se1 Se 0.004 0.004 0.743
Se2 Se 0.331 0.331 0.928
Se3 Se 0.337 0.337 0.407
Se4 Se 0.663 0.663 0.593
Se5 Se 0.669 0.669 0.072
Se6 Se 0.996 0.996 0.257
# **Total moment**: 0.000 μB per atom
# **E**: -6.44 eV/atom

Asked for density of states at the Fermi level across the records above, the calculation gives 0.659 0.582 0.525 0.508 states/eV per atom in order.